# 1
This record from the Alexandria database describes AcNd2HoEr after structural relaxation. The functional is PBE.

Computed properties:
Mass density in Mg/m³: 7.9
Space group: P2_1/m (11)

Structure (POSCAR):
```
AcNd2HoEr
1.0
5.902 0.000 0.000
0.000 9.879 -0.010
0.000 -2.121 6.081
Nd Ac Er Ho
4 2 2 2
Direct
0.750 0.497 0.836
0.250 0.300 0.567
0.250 0.503 0.164
0.750 0.700 0.433
0.250 0.105 0.968
0.750 0.895 0.032
0.250 0.692 0.756
0.750 0.308 0.244
0.750 0.104 0.628
0.250 0.896 0.372
```

# 2
This record from the Alexandria database describes InAg14Pd after structural relaxation. The functional is PBE.

Computed properties:
Mass density in Mg/m³: 10.0
Space group: Amm2 (38)

Structure (POSCAR):
```
InAg14Pd
1.0
-2.858 2.593 4.493
-2.875 -1.661 -4.904
-1.675 -8.589 3.891
Ag In Pd
14 1 1
Direct
0.711 0.289 0.000
0.211 0.289 0.000
0.873 0.623 0.750
0.376 0.624 0.749
0.377 0.127 0.750
0.711 0.789 0.000
0.037 0.460 0.500
0.873 0.623 0.250
0.212 0.788 0.000
0.540 0.963 0.500
0.377 0.127 0.250
0.874 0.126 0.248
0.376 0.624 0.251
0.874 0.126 0.752
0.038 0.962 0.500
0.538 0.462 0.500
```

# 3
This record from the Alexandria database describes TlCd2Au after structural relaxation. The functional is PBE.

Computed properties:
Mass density in Mg/m³: 10.9
Offset from the most stable computed form in meV/atom: 107
Space group: P2/m (10)

Structure (POSCAR):
```
TlCd2Au
1.0
-0.209 3.960 -3.071
0.996 -1.965 -2.602
-4.744 -2.306 -2.650
Cd Tl Au
2 1 1
Direct
0.000 0.633 0.519
0.000 0.867 0.981
0.500 0.250 0.250
0.500 0.750 0.750
```

| no. | electronic total energy (eV per atom) | formation enthalpy at 0 K (eV per atom) |
| --- | --- | --- |
| 1 | -4.512 | 0.05 |
| 2 | -3.013 | -0.02 |
| 3 | -1.853 | 0.02 |